(1)
A geometry-optimized Ta2CdP structure. Source: the Alexandria database, functional GGA-PBE.

CIF file:
```
data_Ta2CdP
_chemical_formula_sum 'Ta2 Cd1 P1'
_space_group_name_H-M_alt 'P 1'
_space_group_IT_number 1
_cell_length_a 3.0685
_cell_length_b 3.0685
_cell_length_c 7.3921
_cell_angle_alpha 90.00
_cell_angle_beta 90.00
_cell_angle_gamma 90.00
loop_
_space_group_symop_operation_xyz
'x,y,z'
loop_
_atom_site_label
_atom_site_fract_x
_atom_site_fract_y
_atom_site_fract_z
_atom_site_occupancy
Cd1 0.5000 0.5000 0.2500 1
Ta1 0.0000 0.0000 0.5533 1
Ta2 0.0000 0.0000 0.9467 1
P1 0.5000 0.5000 0.7500 1
```

Properties
Relative energy among the computed polymorphs, kcal/mol of atoms: 0.000
ΔE_f, eV per atom: -0.14
Density of states at the Fermi level, states/eV/atom: 0.598
Space-group type: P4/mmm (123)
Calculated density, Mg/m³: 12.1



(2)
A geometry-optimized Ta3CdP structure. Source: the Alexandria database, functional GGA-PBE.

CIF file:
```
data_Ta3CdP
_chemical_formula_sum 'Ta3 Cd1 P1'
_space_group_name_H-M_alt 'P 1'
_space_group_IT_number 1
_cell_length_a 4.6319
_cell_length_b 4.6319
_cell_length_c 4.6319
_cell_angle_alpha 90.00
_cell_angle_beta 90.00
_cell_angle_gamma 90.00
loop_
_space_group_symop_operation_xyz
'x,y,z'
loop_
_atom_site_label
_atom_site_fract_x
_atom_site_fract_y
_atom_site_fract_z
_atom_site_occupancy
Cd1 0.5000 0.5000 0.5000 1
Ta1 0.5000 0.0000 0.0000 1
Ta2 0.0000 0.5000 0.0000 1
Ta3 0.0000 0.0000 0.5000 1
P1 0.0000 0.0000 0.0000 1
```

Properties
ΔE_f, eV per atom: 0.41
Density of states at the Fermi level, states/eV/atom: 1.585
Space-group type: Pm-3m (221)
Calculated density, Mg/m³: 11.5



(3)
A geometry-optimized Ta2CdP structure. Source: the Alexandria database, functional GGA-PBE.

CIF file:
```
data_Ta2CdP
_chemical_formula_sum 'Ta2 Cd1 P1'
_space_group_name_H-M_alt 'P 1'
_space_group_IT_number 1
_cell_length_a 5.0859
_cell_length_b 5.0859
_cell_length_c 5.0859
_cell_angle_alpha 139.52
_cell_angle_beta 122.17
_cell_angle_gamma 72.95
loop_
_space_group_symop_operation_xyz
'x,y,z'
loop_
_atom_site_label
_atom_site_fract_x
_atom_site_fract_y
_atom_site_fract_z
_atom_site_occupancy
P1 0.5000 0.0000 0.5000 1
Cd1 0.0000 0.5000 0.5000 1
Ta1 0.7066 0.7066 0.0000 1
Ta2 0.2934 0.2934 0.0000 1
```

Properties
Relative energy among the computed polymorphs, kcal/mol of atoms: 3.473
ΔE_f, eV per atom: 0.01
Density of states at the Fermi level, states/eV/atom: 0.740
Space-group type: Immm (71)
Calculated density, Mg/m³: 11.9



(4)
A geometry-optimized Ta2CdP structure. Source: the Alexandria database, functional GGA-PBE.

CIF file:
```
data_Ta2CdP
_chemical_formula_sum 'Ta2 Cd1 P1'
_space_group_name_H-M_alt 'P 1'
_space_group_IT_number 1
_cell_length_a 4.6714
_cell_length_b 4.6714
_cell_length_c 4.6714
_cell_angle_alpha 60.00
_cell_angle_beta 60.00
_cell_angle_gamma 60.00
loop_
_space_group_symop_operation_xyz
'x,y,z'
loop_
_atom_site_label
_atom_site_fract_x
_atom_site_fract_y
_atom_site_fract_z
_atom_site_occupancy
Ta1 0.0000 0.0000 0.0000 1
Ta2 0.2500 0.2500 0.2500 1
Cd1 0.5000 0.5000 0.5000 1
P1 0.7500 0.7500 0.7500 1
```

Properties
Relative energy among the computed polymorphs, kcal/mol of atoms: 18.440
ΔE_f, eV per atom: 0.66
Density of states at the Fermi level, states/eV/atom: 1.351
Space-group type: F-43m (216)
Calculated density, Mg/m³: 11.6



(5)
A geometry-optimized TaCdP3 structure. Source: the Alexandria database, functional GGA-PBE.

CIF file:
```
data_TaCdP3
_chemical_formula_sum 'Ta1 Cd1 P3'
_space_group_name_H-M_alt 'P 1'
_space_group_IT_number 1
_cell_length_a 4.7602
_cell_length_b 4.7602
_cell_length_c 4.7602
_cell_angle_alpha 90.00
_cell_angle_beta 90.00
_cell_angle_gamma 90.00
loop_
_space_group_symop_operation_xyz
'x,y,z'
loop_
_atom_site_label
_atom_site_fract_x
_atom_site_fract_y
_atom_site_fract_z
_atom_site_occupancy
P1 0.0000 0.0000 0.5000 1
P2 0.5000 0.0000 0.0000 1
P3 0.0000 0.5000 0.0000 1
Ta1 0.5000 0.5000 0.5000 1
Cd1 0.0000 0.0000 0.0000 1
```

Properties
Relative energy among the computed polymorphs, kcal/mol of atoms: 31.036
ΔE_f, eV per atom: 1.69
Density of states at the Fermi level, states/eV/atom: 1.227
Space-group type: Pm-3m (221)
Calculated density, Mg/m³: 5.9



(6)
A geometry-optimized Ta2CdP structure. Source: the Alexandria database, functional GGA-PBE.

CIF file:
```
data_Ta2CdP
_chemical_formula_sum 'Ta2 Cd1 P1'
_space_group_name_H-M_alt 'P 1'
_space_group_IT_number 1
_cell_length_a 4.6527
_cell_length_b 4.6527
_cell_length_c 3.1927
_cell_angle_alpha 90.00
_cell_angle_beta 90.00
_cell_angle_gamma 98.71
loop_
_space_group_symop_operation_xyz
'x,y,z'
loop_
_atom_site_label
_atom_site_fract_x
_atom_site_fract_y
_atom_site_fract_z
_atom_site_occupancy
Ta1 0.0000 0.0000 0.0000 1
Ta2 0.5000 0.5000 0.0000 1
P1 0.0000 0.5000 0.5000 1
Cd1 0.5000 0.0000 0.5000 1
```

Properties
Relative energy among the computed polymorphs, kcal/mol of atoms: 9.772
ΔE_f, eV per atom: 0.28
Density of states at the Fermi level, states/eV/atom: 0.569
Space-group type: Cmmm (65)
Calculated density, Mg/m³: 12.3



(7)
A geometry-optimized Ta2CdP structure. Source: the Alexandria database, functional GGA-PBE.

CIF file:
```
data_Ta2CdP
_chemical_formula_sum 'Ta2 Cd1 P1'
_space_group_name_H-M_alt 'P 1'
_space_group_IT_number 1
_cell_length_a 5.5361
_cell_length_b 5.5361
_cell_length_c 5.5361
_cell_angle_alpha 146.34
_cell_angle_beta 131.16
_cell_angle_gamma 60.63
loop_
_space_group_symop_operation_xyz
'x,y,z'
loop_
_atom_site_label
_atom_site_fract_x
_atom_site_fract_y
_atom_site_fract_z
_atom_site_occupancy
Cd1 0.4792 0.4792 0.0000 1
Ta1 0.7587 0.2587 0.5000 1
Ta2 0.0336 0.0336 0.0000 1
P1 0.2285 0.7285 0.5000 1
```

Properties
Relative energy among the computed polymorphs, kcal/mol of atoms: 5.644
ΔE_f, eV per atom: 0.10
Density of states at the Fermi level, states/eV/atom: 0.682
Space-group type: Imm2 (44)
Calculated density, Mg/m³: 12.0



(8)
A geometry-optimized Ta2CdP structure. Source: the Alexandria database, functional GGA-PBE.

CIF file:
```
data_Ta2CdP
_chemical_formula_sum 'Ta2 Cd1 P1'
_space_group_name_H-M_alt 'P 1'
_space_group_IT_number 1
_cell_length_a 3.0914
_cell_length_b 4.6856
_cell_length_c 4.6856
_cell_angle_alpha 90.00
_cell_angle_beta 90.00
_cell_angle_gamma 90.00
loop_
_space_group_symop_operation_xyz
'x,y,z'
loop_
_atom_site_label
_atom_site_fract_x
_atom_site_fract_y
_atom_site_fract_z
_atom_site_occupancy
Cd1 0.5000 0.5000 0.0000 1
Ta1 0.0000 0.0000 0.0000 1
Ta2 0.0000 0.5000 0.5000 1
P1 0.5000 0.0000 0.5000 1
```

Properties
Relative energy among the computed polymorphs, kcal/mol of atoms: 10.014
ΔE_f, eV per atom: 0.29
Density of states at the Fermi level, states/eV/atom: 0.655
Space-group type: P4/mmm (123)
Calculated density, Mg/m³: 12.4



We obtain V values of 70, 99, 71, 72, 108, 68, 70, 68 Å³/cell for the records listed above, in that order.
We obtain raw total energy values of -30.59, -39.82, -29.99, -27.40, -20.57, -28.90, -29.62, -28.86 eV per cell for the records listed above, in that order.